[1]
InAg2Ir: relaxed, PBEsol.

Unit cell a=2.8541 b=2.8541 c=9.3412 alpha=90.00 beta=90.00 gamma=116.81
Fractional positions:
1 Ir 0.5000 0.5000 0.2503
2 Ag 0.0000 0.0000 0.0040
3 Ag 0.5000 0.5000 0.7546
4 In 0.0000 0.0000 0.4911

Results
energy relative to the elements: 0.250 eV per atom
M_tot: 0.0 μB per formula unit
DOS at the Fermi energy: 0.4931 states/eV/atom

[2]
Rb2S2O7: relaxed, PBEsol.

Unit cell a=7.5369 b=7.6118 c=13.0101 alpha=91.03 beta=90.00 gamma=90.00
Fractional positions:
1 Rb 0.7797 0.8052 0.8678
2 Rb 0.1292 0.3612 0.8432
3 Rb 0.6292 0.1388 0.6568
4 Rb 0.2797 0.6948 0.6322
5 Rb 0.7203 0.3052 0.3678
6 Rb 0.3708 0.8612 0.3432
7 Rb 0.8708 0.6388 0.1568
8 Rb 0.2203 0.1948 0.1322
9 S 0.6764 0.3161 0.9188
10 S 0.2839 0.8750 0.8883
11 S 0.7839 0.6250 0.6117
12 S 0.1764 0.1839 0.5812
13 S 0.8236 0.8161 0.4188
14 S 0.2161 0.3750 0.3883
15 S 0.7161 0.1250 0.1117
16 S 0.3236 0.6839 0.0812
17 O 0.4067 0.7809 0.9784
18 O 0.7856 0.4612 0.9573
19 O 0.1991 0.0259 0.9370
20 O 0.5157 0.3674 0.8665
21 O 0.7805 0.1821 0.8643
22 O 0.1599 0.7408 0.8518
23 O 0.4215 0.9164 0.8142
24 O 0.9215 0.5836 0.6858
25 O 0.2805 0.3179 0.6357
26 O 0.0157 0.1326 0.6335
27 O 0.6599 0.7592 0.6482
28 O 0.6991 0.4741 0.5630
29 O 0.2856 0.0388 0.5427
30 O 0.9067 0.7191 0.5216
31 O 0.0933 0.2809 0.4784
32 O 0.7144 0.9612 0.4573
33 O 0.3009 0.5259 0.4370
34 O 0.3401 0.2408 0.3518
35 O 0.9843 0.8674 0.3665
36 O 0.7195 0.6821 0.3643
37 O 0.0785 0.4164 0.3142
38 O 0.5785 0.0836 0.1858
39 O 0.8401 0.2592 0.1482
40 O 0.2195 0.8179 0.1357
41 O 0.4843 0.6326 0.1335
42 O 0.8009 0.9741 0.0630
43 O 0.2144 0.5388 0.0427
44 O 0.5933 0.2191 0.0216

Results
formation energy without anion corrections: -1712 meV per atom
M_tot: 0.0 μB per formula unit
DOS at the Fermi energy: 0.0000 states/eV/atom

What is the formula in the first record?
InAg2Ir

What is the formula in the second record?
Rb2S2O7